(1)
A relaxed structure of Sc3InCo2. Source: the Alexandria database, functional GGA-PBE.

Values from the calculation:
* spin magnetization: 0.723 Bohr magnetons per cell
* N(E_F): 2.53 states/eV per cell
* formation energy from the elements: -228.4 kJ/mol of formula units
* electronic total energy: -38.31 eV per cell
* space-group type: P4/mmm, No. 123

Unit cell a=3.125 b=3.125 c=10.987 alpha=90.00 beta=90.00 gamma=90.00
Fractional positions:
In1 0.500 0.500 0.500
Co1 0.500 0.500 0.148
Co2 0.500 0.500 0.852
Sc1 0.000 0.000 0.000
Sc2 0.000 0.000 0.716
Sc3 0.000 0.000 0.284

(2)
A relaxed structure of ScInCo2Se. Source: the Alexandria database, functional GGA-PBE.

Values from the calculation:
* spin magnetization: 3.437 Bohr magnetons per cell
* formation energy without anion corrections: 925 meV per atom
* N(E_F): 5.67 states/eV per cell
* electronic total energy: -22.14 eV per cell
* space-group type: P4/mmm, No. 123

Unit cell a=4.687 b=5.440 c=4.687 alpha=90.00 beta=90.00 gamma=90.00
Fractional positions:
Sc1 0.000 0.500 0.000
In1 0.000 0.000 0.000
Co1 0.500 0.000 0.000
Co2 0.000 0.000 0.500
Se1 0.500 0.500 0.500

(3)
A relaxed structure of Sc2InCoSe. Source: the Alexandria database, functional GGA-PBE.

Values from the calculation:
* spin magnetization: 1.807 Bohr magnetons per cell
* formation energy without anion corrections: 492 meV per atom
* N(E_F): 5.19 states/eV per cell
* electronic total energy: -23.53 eV per cell
* space-group type: P4/mmm, No. 123

Unit cell a=5.345 b=4.649 c=5.345 alpha=90.00 beta=90.00 gamma=90.00
Fractional positions:
Sc1 0.000 0.000 0.500
Sc2 0.500 0.000 0.000
Se1 0.500 0.500 0.500
Co1 0.000 0.500 0.000
In1 0.000 0.000 0.000

(4)
A relaxed structure of ScInCoSi2. Source: the Alexandria database, functional GGA-PBE.

Values from the calculation:
* spin magnetization: 1.292 Bohr magnetons per cell
* formation energy without anion corrections: 1076 meV per atom
* N(E_F): 4.18 states/eV per cell
* electronic total energy: -21.64 eV per cell
* space-group type: P4/mmm, No. 123

Unit cell a=4.986 b=4.664 c=4.986 alpha=90.00 beta=90.00 gamma=90.00
Fractional positions:
Co1 0.000 0.500 0.000
Si1 0.500 0.000 0.000
Si2 0.000 0.000 0.500
Sc1 0.500 0.500 0.500
In1 0.000 0.000 0.000